A plane-wave DFT calculation with PBE-GGA was carried out for Sr2YAg2Se4 after structural relaxation.

Structure (POSCAR):
```
Sr2YAg2Se4
1.0
7.995 -2.047 0.000
7.995 2.047 0.000
-3.412 0.000 7.097
Sr Y Ag Se
2 1 2 4
Direct
0.137 0.137 0.085
0.863 0.863 0.915
0.000 0.000 0.500
0.313 0.313 0.494
0.687 0.687 0.506
0.196 0.196 0.753
0.489 0.489 0.760
0.511 0.511 0.240
0.804 0.804 0.247
```

Computed properties:
- SG = C2/m (12)
- formation energy (no corrections) (eV/f.u.) = -11.5